## V2HRuPt (PBE)

Data for a relaxed structure of V2HRuPt.

The structure in POSCAR format:
```
V2HRuPt
1.0
3.906 0.000 0.000
0.000 3.906 0.000
0.000 0.000 3.783
Ru H Pt V
1 1 1 2
Cartesian
0.000 0.000 1.891
0.000 0.000 0.000
1.953 1.953 1.891
0.000 1.953 0.000
1.953 0.000 0.000
```

Computed properties:
The calculation puts the energy above the most stable polymorph in this dataset at 0 meV/atom. The calculation puts the volume at 57.7 Å³/f.u. As for the space group: P4/mmm, No. 123. The value obtained for the total magnetization is 0.00 μB per formula unit.

=====

## VHRu2Pt (PBE)

Data for a relaxed structure of VHRu2Pt.

The structure in POSCAR format:
```
VHRu2Pt
1.0
-0.424 2.371 -3.084
-3.360 -1.787 -0.912
-1.927 2.505 2.191
Ru H Pt V
2 1 1 1
Cartesian
-1.680 -0.894 -0.456
-0.212 1.186 -1.542
0.000 0.000 0.000
-0.964 1.252 1.095
-2.856 1.545 -0.903
```

Computed properties:
The calculation puts the energy above the most stable polymorph in this dataset at 64 meV/atom. The calculation puts the volume at 58.9 Å³/f.u. As for the space group: P4/mmm, No. 123. The value obtained for the total magnetization is 0.00 μB per formula unit.

=====

## V2HRuPt (PBE)

Data for a relaxed structure of V2HRuPt.

The structure in POSCAR format:
```
V2HRuPt
1.0
3.912 0.000 0.000
0.000 3.912 0.000
0.000 0.000 3.792
Ru H Pt V
1 1 1 2
Cartesian
1.956 1.956 1.896
0.000 0.000 0.000
0.000 0.000 1.896
0.000 1.956 0.000
1.956 0.000 0.000
```

Computed properties:
The calculation puts the energy above the most stable polymorph in this dataset at 90 meV/atom. The calculation puts the volume at 58.0 Å³/f.u. As for the space group: P4/mmm, No. 123. The value obtained for the total magnetization is 0.00 μB per formula unit.